[1]
DFT (GGA-PBE) results for a geometry-optimized Cu4IrPt structure.

Properties
**E_form**: 0.1111 eV per atom

Unit cell a=4.779 b=4.779 c=4.779 alpha=60.00 beta=60.00 gamma=60.00
Element x y z (fractional)
Cu: 0.625 0.625 0.126
Cu: 0.625 0.625 0.625
Cu: 0.625 0.126 0.625
Cu: 0.126 0.625 0.625
Pt: 0.000 0.000 0.000
Ir: 0.250 0.250 0.250



[2]
DFT (GGA-PBE) results for a geometry-optimized SmPaZnAu structure.

Properties
**E_form**: -0.1712 eV per atom

Unit cell a=5.128 b=5.128 c=5.128 alpha=60.00 beta=60.00 gamma=60.00
Element x y z (fractional)
Au: 0.000 0.000 0.000
Zn: 0.500 0.500 0.500
Pa: 0.250 0.250 0.250
Sm: 0.750 0.750 0.750



[3]
DFT (GGA-PBE) results for a geometry-optimized RbNa2LiGe structure.

Properties
**E_form**: -0.0525 eV per atom

Unit cell a=5.777 b=5.777 c=5.228 alpha=90.00 beta=90.00 gamma=90.00
Element x y z (fractional)
Rb: 0.500 0.500 0.500
Na: 0.000 0.500 0.000
Na: 0.500 0.000 0.000
Ge: 0.000 0.000 0.000
Li: 0.000 0.000 0.500



[4]
DFT (GGA-PBE) results for a geometry-optimized Ba2NaGa12Ir3 structure.

Properties
**E_form**: -0.1000 eV per atom

Unit cell a=8.465 b=8.465 c=8.465 alpha=67.86 beta=67.86 gamma=67.86
Element x y z (fractional)
Ir: 0.000 0.000 0.500
Ir: 0.000 0.500 0.000
Ir: 0.500 0.000 0.000
Ga: 0.872 0.372 0.872
Ga: 0.058 0.729 0.729
Ga: 0.942 0.271 0.271
Ga: 0.128 0.128 0.628
Ga: 0.628 0.128 0.128
Ga: 0.271 0.271 0.942
Ga: 0.372 0.872 0.872
Ga: 0.729 0.729 0.058
Ga: 0.872 0.872 0.372
Ga: 0.128 0.628 0.128
Ga: 0.271 0.942 0.271
Ga: 0.729 0.058 0.729
Ba: 0.604 0.604 0.604
Ba: 0.396 0.396 0.396
Na: 0.000 0.000 0.000